(w)
Below is crystalline K4Rb5Hg at its relaxed geometry, with properties calculated at the PBE level.

## Properties
The total moment is 0.00 μB per cell.

abc: 4.793 13.593 12.109
angles: 99.74 101.41 90.00
Fractional coordinates of all 10 atoms:
K 0.653 0.044 0.307
K 0.002 0.186 0.005
K 0.347 0.956 0.693
K 0.998 0.814 0.995
Rb 0.172 0.381 0.344
Rb 0.171 0.736 0.341
Rb 0.829 0.264 0.659
Rb 0.500 0.500 0.000
Rb 0.828 0.619 0.656
Hg 0.500 0.000 0.000

(x)
Below is crystalline K4Rb5Hg at its relaxed geometry, with properties calculated at the PBE level.

## Properties
The total moment is 0.00 μB per cell.

abc: 7.122 10.932 10.932
angles: 83.91 70.99 70.99
Fractional coordinates of all 10 atoms:
K 0.501 0.340 0.660
K 0.841 0.660 0.660
K 0.161 0.340 0.340
K 0.501 0.660 0.340
Rb 0.827 0.348 0.999
Rb 0.176 0.999 0.652
Rb 0.827 0.001 0.348
Rb 0.175 0.652 0.001
Rb 0.501 0.000 0.000
Hg 0.001 0.000 0.000

(x) (7 meV per atom below the next structure)

(w)
Below is crystalline K6RbHg2 at its relaxed geometry, with properties calculated at the PBE level.

## Properties
The total moment is 0.00 μB per cell.

abc: 6.974 6.974 10.686
angles: 90.00 90.00 90.00
Fractional coordinates of all 9 atoms:
K 0.000 0.500 0.239
K 0.500 0.000 0.239
K 0.000 0.500 0.761
K 0.500 0.000 0.761
K 0.500 0.500 0.500
K 0.000 0.000 0.500
Rb 0.000 0.000 0.000
Hg 0.500 0.500 0.140
Hg 0.500 0.500 0.860

(x)
Below is crystalline K6RbHg2 at its relaxed geometry, with properties calculated at the PBE level.

## Properties
The total moment is 0.00 μB per cell.

abc: 10.980 10.980 10.980
angles: 104.44 111.81 112.28
Fractional coordinates of all 18 atoms:
K 0.520 0.812 0.707
K 0.480 0.188 0.293
K 0.105 0.812 0.293
K 0.895 0.188 0.707
K 0.772 0.013 0.241
K 0.228 0.987 0.759
K 0.228 0.469 0.241
K 0.772 0.531 0.759
K 0.692 0.320 0.012
K 0.308 0.680 0.988
K 0.308 0.320 0.627
K 0.692 0.680 0.373
Rb 0.000 0.500 0.500
Rb 0.000 0.000 0.000
Hg 0.500 0.113 0.613
Hg 0.500 0.887 0.387
Hg 0.631 0.631 0.000
Hg 0.369 0.369 0.000

(x) (34 meV per atom below the next structure)

(w)
Below is crystalline K4RbHg2 at its relaxed geometry, with properties calculated at the PBE level.

## Properties
The total moment is 0.00 μB per cell.

abc: 7.805 10.219 9.773
angles: 111.64 90.00 90.00
Fractional coordinates of all 14 atoms:
K 0.502 0.423 0.763
K 0.250 0.258 0.345
K 0.750 0.742 0.655
K 0.998 0.423 0.763
K 0.750 0.017 0.387
K 0.002 0.577 0.237
K 0.498 0.577 0.237
K 0.250 0.983 0.613
Hg 0.250 0.258 0.979
Hg 0.750 0.742 0.021
Hg 0.750 0.377 0.420
Hg 0.250 0.623 0.580
Rb 0.250 0.853 0.996
Rb 0.750 0.147 0.004

(x)
Below is crystalline K4RbHg2 at its relaxed geometry, with properties calculated at the PBE level.

## Properties
The total moment is 0.00 μB per cell.

abc: 6.020 6.020 12.995
angles: 76.61 76.61 60.00
Fractional coordinates of all 7 atoms:
K 0.698 0.698 0.906
K 0.907 0.907 0.278
K 0.302 0.302 0.094
K 0.093 0.093 0.722
Rb 0.500 0.500 0.500
Hg 0.600 0.600 0.199
Hg 0.400 0.400 0.801

(w) (32 meV per atom below the next structure)

(w)
Below is crystalline KRbHg2Rh at its relaxed geometry, with properties calculated at the PBE level.

## Properties
The total moment is 0.00 μB per cell.

abc: 5.401 5.401 5.920
angles: 90.00 90.00 90.00
Fractional coordinates of all 5 atoms:
K 0.500 0.500 0.500
Rh 0.000 0.000 0.000
Hg 0.000 0.500 0.000
Hg 0.500 0.000 0.000
Rb 0.000 0.000 0.500

(x)
Below is crystalline KRbHg2Rh at its relaxed geometry, with properties calculated at the PBE level.

## Properties
The total moment is 0.00 μB per cell.

abc: 5.395 5.395 5.825
angles: 90.00 90.00 90.00
Fractional coordinates of all 5 atoms:
K 0.000 0.000 0.500
Rh 0.000 0.000 0.000
Hg 0.000 0.500 0.000
Hg 0.500 0.000 0.000
Rb 0.500 0.500 0.500

(x) (49 meV per atom below the next structure)

(w)
Below is crystalline KRb2HgSe at its relaxed geometry, with properties calculated at the PBE level.

## Properties
The total moment is 0.00 μB per cell.

abc: 6.663 6.663 6.293
angles: 90.00 90.00 90.00
Fractional coordinates of all 5 atoms:
K 0.000 0.000 0.500
Se 0.000 0.000 0.000
Hg 0.500 0.500 0.500
Rb 0.000 0.500 0.000
Rb 0.500 0.000 0.000

(x)
Below is crystalline KRb2HgSe at its relaxed geometry, with properties calculated at the PBE level.

## Properties
The total moment is 0.00 μB per cell.

abc: 7.127 5.399 7.127
angles: 90.00 90.00 90.00
Fractional coordinates of all 5 atoms:
K 0.500 0.500 0.500
Se 0.000 0.500 0.000
Hg 0.000 0.000 0.000
Rb 0.000 0.000 0.500
Rb 0.500 0.000 0.000

(w) (352 meV per atom below the next structure)

(w)
Below is crystalline K2RbSnHg at its relaxed geometry, with properties calculated at the PBE level.

## Properties
The total moment is 0.04 μB per cell.

abc: 6.597 6.597 5.760
angles: 90.00 90.00 90.00
Fractional coordinates of all 5 atoms:
K 0.000 0.500 0.000
K 0.500 0.000 0.000
Hg 0.000 0.000 0.000
Rb 0.500 0.500 0.500
Sn 0.000 0.000 0.500

(x)
Below is crystalline K2RbSnHg at its relaxed geometry, with properties calculated at the PBE level.

## Properties
The total moment is 0.00 μB per cell.

abc: 6.978 6.978 5.598
angles: 90.00 90.00 90.00
Fractional coordinates of all 5 atoms:
K 0.000 0.500 0.000
K 0.500 0.000 0.000
Hg 0.000 0.000 0.500
Rb 0.500 0.500 0.500
Sn 0.000 0.000 0.000

(w) (14 meV per atom below the next structure)

(w)
Below is crystalline KRbTlHg at its relaxed geometry, with properties calculated at the PBE level.

## Properties
The total moment is 0.00 μB per cell.

abc: 5.981 5.981 5.981
angles: 60.00 60.00 60.00
Fractional coordinates of all 4 atoms:
K 0.250 0.250 0.250
Tl 0.000 0.000 0.000
Hg 0.750 0.750 0.750
Rb 0.500 0.500 0.500

(x)
Below is crystalline KRbTlHg at its relaxed geometry, with properties calculated at the PBE level.

## Properties
The total moment is 0.00 μB per cell.

abc: 5.406 5.406 7.710
angles: 90.21 110.37 119.89
Fractional coordinates of all 4 atoms:
K 0.985 0.856 0.841
Rb 0.378 0.055 0.433
Tl 0.499 0.615 0.114
Hg 0.830 0.279 0.109

(x) (76 meV per atom below the next structure)

(w)
Below is crystalline KRbTl2Hg at its relaxed geometry, with properties calculated at the PBE level.

## Properties
The total moment is 0.00 μB per cell.

abc: 5.161 5.439 8.194
angles: 109.38 108.36 90.00
Fractional coordinates of all 5 atoms:
K 0.195 0.695 0.390
Rb 0.436 0.436 0.872
Tl 0.690 0.190 0.380
Tl 0.049 0.049 0.099
Hg 0.842 0.842 0.683

(x)
Below is crystalline KRbTl2Hg at its relaxed geometry, with properties calculated at the PBE level.

## Properties
The total moment is 0.00 μB per cell.

abc: 5.964 5.964 6.435
angles: 90.00 90.00 90.00
Fractional coordinates of all 5 atoms:
K 0.000 0.000 0.500
Tl 0.000 0.500 0.000
Tl 0.500 0.000 0.000
Hg 0.000 0.000 0.000
Rb 0.500 0.500 0.500

(w) (131 meV per atom below the next structure)

(w)
Below is crystalline KReHg at its relaxed geometry, with properties calculated at the PBE level.

## Properties
The total moment is 1.11 μB per cell.

abc: 6.683 6.683 6.683
angles: 156.08 138.56 48.42
Fractional coordinates of all 3 atoms:
Hg 0.058 0.058 0.000
K 0.334 0.334 0.000
Re 0.608 0.608 0.000

(x)
Below is crystalline KReHg at its relaxed geometry, with properties calculated at the PBE level.

## Properties
The total moment is 0.74 μB per cell.

abc: 5.319 5.319 2.746
angles: 90.00 90.00 120.00
Fractional coordinates of all 3 atoms:
Hg 0.000 0.000 0.834
K 0.667 0.333 0.333
Re 0.333 0.667 0.832

(y)
Below is crystalline KReHg at its relaxed geometry, with properties calculated at the PBE level.

## Properties
The total moment is 0.00 μB per cell.

abc: 2.909 2.909 8.557
angles: 90.00 90.00 120.00
Fractional coordinates of all 3 atoms:
Hg 0.000 0.000 0.980
K 0.667 0.333 0.340
Re 0.333 0.667 0.680

(y) (19 meV per atom below the next structure)

(w)
Below is crystalline KReHg at its relaxed geometry, with properties calculated at the PBE level.

## Properties
The total moment is 0.00 μB per cell.

abc: 8.467 8.467 8.467
angles: 160.98 160.98 27.03
Fractional coordinates of all 3 atoms:
Hg 0.012 0.012 0.000
K 0.330 0.330 0.000
Re 0.658 0.658 0.000

(x)
Below is crystalline KReHg at its relaxed geometry, with properties calculated at the PBE level.

## Properties
The total moment is 4.08 μB per cell.

abc: 5.335 5.335 5.335
angles: 60.00 60.00 60.00
Fractional coordinates of all 3 atoms:
Hg 0.500 0.500 0.500
K 0.750 0.750 0.750
Re 0.000 0.000 0.000

(w) (1074 meV per atom below the next structure)

(w)
Below is crystalline KReHg at its relaxed geometry, with properties calculated at the PBE level.

## Properties
The total moment is 0.00 μB per cell.

abc: 8.716 8.585 2.808
angles: 83.31 78.03 18.66
Fractional coordinates of all 3 atoms:
Hg 0.011 0.011 0.989
K 0.329 0.329 0.671
Re 0.660 0.660 0.340

(x)
Below is crystalline KReHg at its relaxed geometry, with properties calculated at the PBE level.

## Properties
The total moment is 3.62 μB per cell.

abc: 5.058 5.058 5.058
angles: 60.00 60.00 60.00
Fractional coordinates of all 3 atoms:
Hg 0.750 0.750 0.750
K 0.000 0.000 0.000
Re 0.500 0.500 0.500

(w) (688 meV per atom below the next structure)

(w)
Below is crystalline KHg2Rh at its relaxed geometry, with properties calculated at the PBE level.

## Properties
The total moment is 0.00 μB per cell.

abc: 4.637 4.637 6.669
angles: 69.65 69.65 59.96
Fractional coordinates of all 4 atoms:
Hg 0.958 0.958 0.126
Hg 0.542 0.542 0.374
K 0.750 0.750 0.750
Rh 0.250 0.250 0.250

(x)
Below is crystalline KHg2Rh at its relaxed geometry, with properties calculated at the PBE level.

## Properties
The total moment is 0.00 μB per cell.

abc: 5.160 5.160 3.384
angles: 90.00 90.00 90.00
Fractional coordinates of all 4 atoms:
Hg 0.000 0.000 0.000
Hg 0.500 0.500 0.000
K 0.500 0.000 0.500
Rh 0.000 0.500 0.500

(w) (211 meV per atom below the next structure)

(w)
Below is crystalline KHg2Rh at its relaxed geometry, with properties calculated at the PBE level.

## Properties
The total moment is 0.00 μB per cell.

abc: 5.065 5.065 5.065
angles: 60.00 60.00 60.00
Fractional coordinates of all 4 atoms:
Hg 0.000 0.000 0.000
Hg 0.250 0.250 0.250
K 0.500 0.500 0.500
Rh 0.750 0.750 0.750

(x)
Below is crystalline KHg2Rh at its relaxed geometry, with properties calculated at the PBE level.

## Properties
The total moment is 0.00 μB per cell.

abc: 4.393 3.281 7.627
angles: 89.94 90.00 90.00
Fractional coordinates of all 4 atoms:
Hg 0.000 0.125 0.892
Hg 0.500 0.125 0.203
K 0.000 0.624 0.505
Rh 0.500 0.625 0.899

(x) (347 meV per atom below the next structure)